Record 1
VASP calculation (PBE) on crystalline ZnPtI2N at its relaxed geometry.

CIF file:
```
data_ZnPtI2N
_space_group_name_H-M_alt 'P 4/m m m'
_space_group_IT_number 123
_space_group_name_Hall '-P 4 2'
_cell_length_a 5.770
_cell_length_b 5.770
_cell_length_c 3.743
_cell_angle_alpha 90.00
_cell_angle_beta 90.00
_cell_angle_gamma 90.00
loop_
_atom_site_label
_atom_site_type_symbol
_atom_site_fract_x
_atom_site_fract_y
_atom_site_fract_z
_atom_site_occupancy
Zn1 Zn 0.000 0.000 0.000 1
Pt1 Pt 0.500 0.500 0.500 1
I1 I 0.000 0.500 0.500 1
N1 N 0.500 0.500 0.000 1
```

## Properties
The crystal system is tetragonal.

***

Record 2
VASP calculation (PBE) on crystalline ZnPtIN2 at its relaxed geometry.

CIF file:
```
data_ZnPtIN2
_space_group_name_H-M_alt 'P 4/m m m'
_space_group_IT_number 123
_space_group_name_Hall '-P 4 2'
_cell_length_a 3.833
_cell_length_b 3.833
_cell_length_c 8.239
_cell_angle_alpha 90.00
_cell_angle_beta 90.00
_cell_angle_gamma 90.00
loop_
_atom_site_label
_atom_site_type_symbol
_atom_site_fract_x
_atom_site_fract_y
_atom_site_fract_z
_atom_site_occupancy
Zn1 Zn 0.000 0.000 0.000 1
Pt1 Pt 0.500 0.500 0.500 1
I1 I 0.500 0.500 0.000 1
N1 N 0.000 0.500 0.500 1
```

## Properties
The crystal system is tetragonal.

***

Record 3
VASP calculation (PBE) on crystalline ZnPtIN2 at its relaxed geometry.

CIF file:
```
data_ZnPtIN2
_space_group_name_H-M_alt 'P 4/m m m'
_space_group_IT_number 123
_space_group_name_Hall '-P 4 2'
_cell_length_a 3.921
_cell_length_b 3.921
_cell_length_c 6.361
_cell_angle_alpha 90.00
_cell_angle_beta 90.00
_cell_angle_gamma 90.00
loop_
_atom_site_label
_atom_site_type_symbol
_atom_site_fract_x
_atom_site_fract_y
_atom_site_fract_z
_atom_site_occupancy
Zn1 Zn 0.000 0.000 0.000 1
Pt1 Pt 0.500 0.500 0.500 1
I1 I 0.000 0.000 0.500 1
N1 N 0.000 0.500 0.000 1
```

## Properties
The crystal system is tetragonal.

***

Record 4
VASP calculation (PBE) on crystalline Pu2I2N at its relaxed geometry.

CIF file:
```
data_Pu2I2N
_space_group_name_H-M_alt 'I b a m'
_space_group_IT_number 72
_space_group_name_Hall '-I 2 2c'
_cell_length_a 9.186
_cell_length_b 11.756
_cell_length_c 5.777
_cell_angle_alpha 90.00
_cell_angle_beta 90.00
_cell_angle_gamma 90.00
loop_
_atom_site_label
_atom_site_type_symbol
_atom_site_fract_x
_atom_site_fract_y
_atom_site_fract_z
_atom_site_occupancy
Pu1 Pu 0.147 0.092 0.000 1
I1 I 0.157 0.367 0.000 1
N1 N 0.000 0.000 0.250 1
```

## Properties
The crystal system is orthorhombic.

***

Record 5
VASP calculation (PBE) on crystalline Pu2IN at its relaxed geometry.

CIF file:
```
data_Pu2IN
_space_group_name_H-M_alt 'R -3 m'
_space_group_IT_number 166
_space_group_name_Hall '-R 3 2"'
_cell_length_a 3.6999
_cell_length_b 3.6999
_cell_length_c 22.9488
_cell_angle_alpha 90.00
_cell_angle_beta 90.00
_cell_angle_gamma 120.00
loop_
_atom_site_label
_atom_site_type_symbol
_atom_site_fract_x
_atom_site_fract_y
_atom_site_fract_z
_atom_site_occupancy
Pu1 Pu 0.0000 0.0000 0.2233 1
I1 I 0.0000 0.0000 0.0000 1
N1 N 0.0000 0.0000 0.5000 1
```

## Properties
The crystal system is trigonal.

***

Record 6
VASP calculation (PBE) on crystalline Pu2IN at its relaxed geometry.

CIF file:
```
data_Pu2IN
_space_group_name_H-M_alt 'P 4/m m m'
_space_group_IT_number 123
_space_group_name_Hall '-P 4 2'
_cell_length_a 3.332
_cell_length_b 3.332
_cell_length_c 7.601
_cell_angle_alpha 90.00
_cell_angle_beta 90.00
_cell_angle_gamma 90.00
loop_
_atom_site_label
_atom_site_type_symbol
_atom_site_fract_x
_atom_site_fract_y
_atom_site_fract_z
_atom_site_occupancy
Pu1 Pu 0.000 0.000 0.186 1
I1 I 0.500 0.500 0.500 1
N1 N 0.500 0.500 0.000 1
```

## Properties
The crystal system is tetragonal.

***

| no. | total DFT energy (no corrections) (eV/cell) | E_form (uncorrected) (meV/atom) |
| --- | --- | --- |
| 1 | -16.232 | 501.7 |
| 2 | -20.352 | 1032.8 |
| 3 | -17.502 | 1602.7 |
| 4 | -181.924 | -1078.3 |
| 5 | -126.469 | -904.3 |
| 6 | -40.035 | -374.0 |